12
Lattice="3.8393 -6.6565 0.0000 3.8393 6.6565 0.0000 -2.5683 0.0000 7.4374" Properties=species:S:1:pos:R:3 comment="Ca2TbNd3Te6 | the Alexandria database | PBE | optimized geometry" space_group="No. 12" e_form_raw_ev_per_atom=-1.465 pbc="T T T"
Ca 3.8393 4.4454 0.0000
Ca 3.8393 -4.4454 0.0000
Tb 3.8393 0.0000 0.0000
Nd -1.2841 0.0000 3.7187
Nd 2.5552 2.2865 3.7187
Nd 2.5552 -2.2865 3.7187
Te 0.0037 2.2013 5.6546
Te 1.3015 0.0000 1.8315
Te 0.0037 -2.2013 5.6546
Te 5.1067 2.2013 1.7828
Te 3.8089 0.0000 5.6059
Te 5.1067 -2.2013 1.7828

4
Lattice="0.0000 3.3123 3.3123 3.3123 0.0000 3.3123 3.3123 3.3123 0.0000" Properties=species:S:1:pos:R:3 comment="SrCoP2 | the Alexandria database | PBE | optimized geometry" formation_enthalpy_0k_ev_per_atom=0.427 e_above_lowest_polymorph_mev_per_atom=1088 space_group="No. 216" pbc="T T T"
Sr 0.0000 0.0000 0.0000
Co 4.9684 4.9684 4.9684
P 1.6561 1.6561 1.6561
P 3.3123 3.3123 3.3123

4
Lattice="7.7603 -1.5410 0.0000 7.7603 1.5410 0.0000 -0.0430 0.0000 3.0828" Properties=species:S:1:pos:R:3 comment="HgP2W | the Alexandria database | PBE | optimized geometry" formation_enthalpy_0k_ev_per_atom=0.046 space_group="No. 8" pbc="T T T"
Hg 0.0000 0.0000 0.0000
P 10.1481 0.0000 3.0402
P 12.8526 0.0000 3.0803
W 3.7823 0.0000 1.5146

12
Lattice="4.3079 -6.3506 0.0000 4.3079 6.3506 0.0000 -1.7898 0.0000 5.9693" Properties=species:S:1:pos:R:3 comment="Ho4CdTc | the Alexandria database | PBE | optimized geometry" formation_enthalpy_0k_ev_per_atom=-0.194 e_above_lowest_polymorph_mev_per_atom=0 space_group="No. 15" pbc="T T T"
Ho 1.6932 4.1915 5.6968
Ho 1.3241 1.0300 3.6136
Ho 4.2380 4.1915 3.2572
Ho 2.2190 -1.0300 0.6290
Ho 4.6071 1.0300 5.3403
Ho 2.5881 -4.1915 2.7122
Ho 5.5020 -1.0300 2.3557
Ho 5.1329 -4.1915 0.2725
Cd 3.8605 1.5943 1.4923
Cd 2.9656 -1.5943 4.4770
Tc 2.9656 6.3371 4.4770
Tc 3.8605 -6.3371 1.4923

15
Lattice="4.4158 2.5495 7.7788 -4.4158 2.5495 7.7788 0.0000 -5.0990 7.7788" Properties=species:S:1:pos:R:3 comment="Na3Th3UTe8 | the Alexandria database | PBE | optimized geometry" space_group="No. 166" e_form_raw_ev_per_atom=-1.021 pbc="T T T"
Na -2.2079 -1.2747 7.7788
Na -2.2079 1.2747 15.5575
Na 0.0000 2.5495 7.7788
Th -4.4158 0.0000 11.6681
Th -2.2079 1.2747 3.8894
Th 2.2079 1.2747 3.8894
U 0.0000 0.0000 11.6681
Te -2.2119 -1.2771 13.5295
Te 0.0000 0.0000 5.7991
Te 0.0000 -2.5541 9.8068
Te -2.2119 1.2771 9.8068
Te 2.2119 -1.2771 13.5295
Te 0.0000 2.5541 13.5295
Te 0.0000 0.0000 17.5372
Te 2.2119 1.2770 9.8068

15
Lattice="3.8535 2.2248 8.0605 -3.8535 2.2248 8.0605 0.0000 -4.4496 8.0605" Properties=species:S:1:pos:R:3 comment="Rb3Pa3RuS8 | the Alexandria database | PBE | optimized geometry" space_group="No. 166" e_form_raw_ev_per_atom=-1.286 pbc="T T T"
Rb -1.9268 -1.1124 8.0605
Rb -1.9267 1.1124 16.1211
Rb 0.0000 2.2248 8.0605
Pa -3.8535 0.0000 12.0908
Pa -1.9267 1.1124 4.0303
Pa 1.9268 1.1124 4.0303
Ru 0.0000 0.0000 12.0908
S 0.0000 0.0000 5.6660
S -1.7839 -1.0299 13.5589
S 0.0000 -2.0599 10.6227
S -1.7839 1.0299 10.6227
S 1.7839 -1.0299 13.5589
S 0.0000 2.0599 13.5589
S 1.7839 1.0299 10.6227
S 0.0000 0.0000 18.5156

5
Lattice="5.4030 0.0000 0.0000 0.0000 5.4030 0.0000 0.0000 0.0000 4.2822" Properties=species:S:1:pos:R:3 comment="InGeCl2F | the Alexandria database | PBE | optimized geometry" space_group="No. 123" e_form_raw_ev_per_atom=-1.144 pbc="T T T"
In 0.0000 0.0000 0.0000
Ge 2.7015 2.7015 2.1411
Cl 0.0000 2.7015 2.1411
Cl 2.7015 0.0000 2.1411
F 2.7015 2.7015 0.0000

7
Lattice="5.7481 -2.5729 0.0000 5.7481 2.5729 0.0000 -1.1443 0.0000 8.0878" Properties=species:S:1:pos:R:3 comment="La2Pm2SmHo2 | the Alexandria database | PBE | optimized geometry" formation_enthalpy_0k_ev_per_atom=0.024 space_group="No. 12" pbc="T T T"
La 1.1476 0.0000 3.4473
La 9.2043 0.0000 4.6405
Pm 2.2899 0.0000 6.9517
Pm 8.0620 0.0000 1.1361
Sm 0.0000 0.0000 0.0000
Ho 4.6110 0.0000 2.2968
Ho 5.7409 0.0000 5.7911

7
Lattice="2.1995 1.2699 9.5394 -2.1995 1.2699 9.5394 0.0000 -2.5398 9.5394" Properties=species:S:1:pos:R:3 comment="Li2Nd2ErSi2 | the Alexandria database | PBE | optimized geometry" space_group="No. 166" e_form_raw_ev_per_atom=-0.390 pbc="T T T"
Li 0.0000 0.0000 3.2370
Li 0.0000 0.0000 25.3813
Nd 0.0000 0.0000 10.8108
Nd 0.0000 0.0000 17.8075
Er 0.0000 0.0000 14.3092
Si 0.0000 0.0000 6.4973
Si 0.0000 0.0000 22.1210

5
Lattice="4.7089 0.0000 0.0000 0.0000 4.7089 0.0000 0.0000 0.0000 4.7089" Properties=species:S:1:pos:R:3 comment="Ho3PdN | the Alexandria database | PBE | optimized geometry" space_group="No. 221" e_form_raw_ev_per_atom=-0.919 pbc="T T T"
Ho 0.0000 0.0000 2.3545
Ho 0.0000 2.3545 0.0000
Ho 2.3545 0.0000 0.0000
Pd 2.3545 2.3545 2.3545
N 0.0000 0.0000 0.0000

8
Lattice="6.9466 0.0000 0.0000 0.0000 6.9466 0.0000 0.0000 0.0000 4.4689" Properties=species:S:1:pos:R:3 comment="PrIn6Sn | the Alexandria database | PBE | optimized geometry" formation_enthalpy_0k_ev_per_atom=-0.169 space_group="No. 123" pbc="T T T"
Pr 0.0000 0.0000 0.0000
In 0.0000 3.4733 0.0000
In 1.7864 1.7864 2.2345
In 1.7864 5.1602 2.2345
In 3.4733 0.0000 0.0000
In 5.1602 1.7864 2.2345
In 5.1602 5.1602 2.2345
Sn 3.4733 3.4733 0.0000

12
Lattice="7.6733 0.0000 0.0000 0.0000 3.9178 0.0000 0.0000 0.0000 6.9027" Properties=species:S:1:pos:R:3 comment="PuSiPt4 | the Alexandria database | PBE | optimized geometry" e_above_lowest_polymorph_mev_per_atom=0 space_group="No. 51" e_form_raw_ev_per_atom=-0.688 pbc="T T T"
Pu 1.9183 0.0000 0.8719
Pu 5.7549 0.0000 6.0308
Si 1.9183 0.0000 4.9255
Si 5.7549 0.0000 1.9772
Pt 0.0000 0.0000 3.4514
Pt 0.4394 1.9589 5.5913
Pt 1.9183 1.9589 3.0839
Pt 3.3972 1.9589 5.5913
Pt 3.8366 0.0000 3.4514
Pt 4.2761 1.9589 1.3114
Pt 5.7549 1.9589 3.8188
Pt 7.2338 1.9589 1.3114

Number 1: Fermi-level density of states 5.98 states/eV/f.u.. Number 2: Fermi-level density of states 4.42 states/eV/f.u.. Number 3: Fermi-level density of states 1.76 states/eV/f.u.. Number 4: Fermi-level density of states 5.14 states/eV/f.u.. Number 5: Fermi-level density of states 12.98 states/eV/f.u.. Number 6: Fermi-level density of states 17.99 states/eV/f.u.. Number 7: Fermi-level density of states 0.00 states/eV/f.u.. Number 8: Fermi-level density of states 11.53 states/eV/f.u.. Number 9: Fermi-level density of states 5.04 states/eV/f.u.. Number 10: Fermi-level density of states 5.71 states/eV/f.u.. Number 11: Fermi-level density of states 4.69 states/eV/f.u.. Number 12: Fermi-level density of states 13.95 states/eV/f.u..